DFT (PBE) results for an optimized crystal structure of Tb4PrTe6.

Unit cell a=4.3206 b=7.4935 c=22.4070 alpha=90.00 beta=90.00 gamma=106.76
Sites, in units of the cell vectors:
Tb 0.5889 0.1777 0.6247
Tb 0.4111 0.8223 0.1247
Tb 0.1434 0.2867 0.0353
Tb 0.5889 0.1777 0.8753
Tb 0.8566 0.7133 0.5353
Tb 0.8566 0.7133 0.9647
Tb 0.4111 0.8223 0.3753
Tb 0.1434 0.2867 0.4647
Te 0.2337 0.4675 0.5930
Te 0.9474 0.8947 0.8368
Te 0.3194 0.6387 0.2500
Te 0.0526 0.1053 0.1632
Te 0.6806 0.3613 0.7500
Te 0.7663 0.5325 0.0930
Te 0.0526 0.1053 0.3368
Te 0.5000 0.0000 0.0000
Te 0.2337 0.4675 0.9070
Te 0.7663 0.5325 0.4070
Te 0.9474 0.8947 0.6632
Te 0.5000 0.0000 0.5000
Pr 0.3456 0.6912 0.7500
Pr 0.6544 0.3088 0.2500

Calculated values
The formation energy from raw total energies is -1.393 eV per atom.

DFT (PBE) results for an optimized crystal structure of Pr6Si2AsI3.

Unit cell a=7.5371 b=7.5371 c=8.1901 alpha=98.82 beta=98.82 gamma=120.00
Sites, in units of the cell vectors:
Pr 0.2718 0.2718 0.8031
Pr 0.5970 0.9344 0.8031
Pr 0.9344 0.5970 0.8031
Pr 0.0656 0.4030 0.1969
Pr 0.4030 0.0656 0.1969
Pr 0.7282 0.7282 0.1969
Si 0.6666 0.3334 0.0000
Si 0.3334 0.6666 0.0000
I 0.8335 0.1665 0.5000
I 0.1665 0.8335 0.5000
I 0.5000 0.5000 0.5000
As 0.0000 0.0000 0.0000

Calculated values
The formation energy from raw total energies is -1.087 eV per atom.

DFT (PBE) results for an optimized crystal structure of AcCeZn.

Unit cell a=3.7494 b=5.5264 c=8.8338 alpha=90.00 beta=102.25 gamma=90.00
Sites, in units of the cell vectors:
Zn 0.5917 0.7500 0.1833
Zn 0.4083 0.2500 0.8167
Ce 0.2355 0.7500 0.4710
Ce 0.7645 0.2500 0.5290
Ac 0.0756 0.2500 0.1513
Ac 0.9244 0.7500 0.8487

Calculated values
The energy above the most stable polymorph in this dataset is 0.0 kJ/mol of atoms.

DFT (PBE) results for an optimized crystal structure of MgReBr2.

Unit cell a=3.3108 b=3.3108 c=10.0301 alpha=90.00 beta=90.00 gamma=123.96
Sites, in units of the cell vectors:
Mg 0.5000 0.5000 0.2500
Br 0.0000 0.0000 0.5478
Br 0.0000 0.0000 0.9522
Re 0.5000 0.5000 0.7500

Calculated values
The formation energy from raw total energies is 0.559 eV per atom. The energy above the most stable polymorph in this dataset is 49.4 kJ/mol of atoms.

DFT (PBE) results for an optimized crystal structure of TbSmGd2.

Unit cell a=5.0731 b=5.0684 c=5.0684 alpha=90.00 beta=90.00 gamma=90.00
Sites, in units of the cell vectors:
Sm 0.5000 0.0000 0.0000
Gd 0.0000 0.0000 0.5000
Gd 0.0000 0.5000 0.0000
Tb 0.5000 0.5000 0.5000

Calculated values
The energy above the most stable polymorph in this dataset is 0.0 kJ/mol of atoms.

DFT (PBE) results for an optimized crystal structure of Ac4GaTc.

Unit cell a=6.7581 b=8.6497 c=8.6497 alpha=111.91 beta=105.44 gamma=105.44
Sites, in units of the cell vectors:
Ac 0.5780 0.2910 0.9472
Ac 0.4220 0.7090 0.0528
Ac 0.8122 0.6437 0.7828
Ac 0.0780 0.9472 0.2910
Ac 0.6878 0.2172 0.3563
Ac 0.1878 0.3563 0.2172
Ac 0.9220 0.0528 0.7090
Ac 0.3122 0.7828 0.6437
Ga 0.2500 0.3748 0.6252
Ga 0.7500 0.6252 0.3748
Tc 0.2500 0.0006 0.9994
Tc 0.7500 0.9994 0.0006

DFT (PBE) results for an optimized crystal structure of SrTe2Se.

Unit cell a=6.3557 b=6.3557 c=9.5513 alpha=70.57 beta=70.57 gamma=90.00
Sites, in units of the cell vectors:
Sr 0.7500 0.2500 0.5000
Sr 0.0000 0.0000 0.0000
Te 0.1994 0.6250 0.2500
Te 0.5506 0.1250 0.2500
Te 0.8750 0.8006 0.7500
Te 0.3750 0.4494 0.7500
Se 0.5000 0.5000 0.0000
Se 0.2500 0.7500 0.5000

Calculated values
The formation energy from raw total energies is -0.504 eV per atom.

DFT (PBE) results for an optimized crystal structure of YGa2WAu.

Unit cell a=5.1402 b=5.1099 c=5.1402 alpha=90.00 beta=90.00 gamma=90.00
Sites, in units of the cell vectors:
Au 0.0000 0.5000 0.0000
Ga 0.5000 0.0000 0.0000
Ga 0.0000 0.0000 0.5000
Y 0.0000 0.0000 0.0000
W 0.5000 0.5000 0.5000

no.,energy (eV per atom)
1,-5.225
2,-5.155
3,-3.860
4,-3.788
5,-9.357
6,-5.081
7,-3.366
8,-3.885